{
  "formula": "PrErCr2O8",
  "functional": "PBE with a Hubbard U",
  "state": "optimized geometry",
  "lattice_angstrom": [[-3.6642, 3.6642, 3.1795], [3.6642, -3.6642, 3.1795], [3.6642, 3.6642, -3.1795]],
  "species": ["Pr", "Er", "Cr", "Cr", "O", "O", "O", "O", "O", "O", "O", "O"],
  "fractional_positions": [[0.0000, 0.0000, 0.0000], [0.2500, 0.7500, 0.5000], [0.5000, 0.5000, 0.0000], [0.7500, 0.2500, 0.5000], [0.3334, 0.1466, 0.8132], [0.3334, 0.5202, 0.1868], [0.3954, 0.0728, 0.3225], [0.4798, 0.6666, 0.8132], [0.7503, 0.0728, 0.6775], [0.8534, 0.6666, 0.1868], [0.9272, 0.2497, 0.3225], [0.9272, 0.6046, 0.6775]],
  "spacegroup": "I-4m2, No. 119",
  "dft_energy_ev_per_cell": -91.54
}